Zn2CuOs: optimized geometry, PBEsol.

Output
calculated formation energy	0.91	eV per formula unit
space group	P4mm, No. 99
mass density	12.1	g cm⁻³

Cell and atoms, written as POSCAR:
```
Zn2CuOs
1.0
2.6488 0.0000 0.0000
0.0000 2.6488 0.0000
0.0000 0.0000 7.5226
Zn Cu Os
2 1 1
direct
0.0000 0.0000 0.0000
0.5000 0.5000 0.2638
0.0000 0.0000 0.4980
0.5000 0.5000 0.7442
```

=====

ZnCu2Os: optimized geometry, PBEsol.

Output
calculated formation energy	0.99	eV per formula unit
space group	Immm, No. 71
mass density	12.6	g cm⁻³

Cell and atoms, written as POSCAR:
```
ZnCu2Os
1.0
-1.3138 2.1972 4.3693
1.3138 -2.1972 4.3693
1.3138 2.1972 -4.3693
Zn Cu Os
1 2 1
direct
0.0000 0.0000 0.0000
0.2431 0.7431 0.5000
0.7569 0.2569 0.5000
0.5000 0.5000 0.0000
```

=====

ZrCu2Os: optimized geometry, PBEsol.

Output
calculated formation energy	-0.03	eV per formula unit
space group	I-4m2, No. 119
mass density	11.7	g cm⁻³
energy above the lowest structure with this stoichiometry	0.000	eV/atom

Cell and atoms, written as POSCAR:
```
ZrCu2Os
1.0
-1.9338 1.9338 3.8721
1.9338 -1.9338 3.8721
1.9338 1.9338 -3.8721
Zr Cu Os
1 2 1
direct
0.0000 0.0000 0.0000
0.5000 0.5000 0.0000
0.7500 0.2500 0.5000
0.2500 0.7500 0.5000
```

=====

ZrCuOs: optimized geometry, PBEsol.

Output
calculated formation energy	-0.20	eV per formula unit
space group	I4mm, No. 107
mass density	12.3	g cm⁻³
energy above the lowest structure with this stoichiometry	0.000	eV/atom

Cell and atoms, written as POSCAR:
```
ZrCuOs
1.0
-1.6531 1.6531 4.2698
1.6531 -1.6531 4.2698
1.6531 1.6531 -4.2698
Zr Cu Os
1 1 1
direct
0.0000 0.0000 0.0000
0.6767 0.6767 0.0000
0.3320 0.3320 0.0000
```

=====

ZrCu2Os: optimized geometry, PBEsol.

Output
calculated formation energy	0.37	eV per formula unit
space group	F-43m, No. 216
mass density	11.5	g cm⁻³
energy above the lowest structure with this stoichiometry	0.099	eV/atom

Cell and atoms, written as POSCAR:
```
ZrCu2Os
1.0
0.0000 3.0922 3.0922
3.0922 0.0000 3.0922
3.0922 3.0922 0.0000
Zr Cu Os
1 2 1
direct
0.0000 0.0000 0.0000
0.2500 0.2500 0.2500
0.5000 0.5000 0.5000
0.7500 0.7500 0.7500
```

=====

ZrCu2Os: optimized geometry, PBEsol.

Output
calculated formation energy	0.53	eV per formula unit
space group	Cm, No. 8
mass density	11.8	g cm⁻³
energy above the lowest structure with this stoichiometry	0.140	eV/atom

Cell and atoms, written as POSCAR:
```
ZrCu2Os
1.0
4.5702 -1.3760 0.0000
4.5702 1.3760 0.0000
-1.0443 0.0000 4.5710
Zr Cu Os
1 2 1
direct
0.0000 0.0000 0.0000
0.4885 0.4885 0.4936
0.7587 0.7587 0.2625
0.2302 0.2302 0.7232
```

=====

Zr2CuOs: optimized geometry, PBEsol.

Output
calculated formation energy	-1.38	eV per formula unit
space group	P4/mmm, No. 123
mass density	10.6	g cm⁻³

Cell and atoms, written as POSCAR:
```
Zr2CuOs
1.0
4.6036 0.0000 0.0000
0.0000 4.6036 0.0000
0.0000 0.0000 3.2097
Zr Cu Os
2 1 1
direct
0.0000 0.5000 0.0000
0.5000 0.0000 0.0000
0.0000 0.0000 0.5000
0.5000 0.5000 0.5000
```

=====

ZrCuOs: optimized geometry, PBEsol.

Output
calculated formation energy	2.20	eV per formula unit
space group	F-43m, No. 216
mass density	10.3	g cm⁻³
energy above the lowest structure with this stoichiometry	0.801	eV/atom

Cell and atoms, written as POSCAR:
```
ZrCuOs
1.0
0.0000 3.0346 3.0346
3.0346 0.0000 3.0346
3.0346 3.0346 0.0000
Zr Cu Os
1 1 1
direct
0.0000 0.0000 0.0000
0.7500 0.7500 0.7500
0.2500 0.2500 0.2500
```

=====

ZrCu2Os: optimized geometry, PBEsol.

Output
calculated formation energy	0.50	eV per formula unit
space group	P4/mmm, No. 123
mass density	11.7	g cm⁻³
energy above the lowest structure with this stoichiometry	0.132	eV/atom

Cell and atoms, written as POSCAR:
```
ZrCu2Os
1.0
3.3166 0.0000 0.0000
0.0000 3.3166 0.0000
0.0000 0.0000 5.2619
Zr Cu Os
1 2 1
direct
0.0000 0.0000 0.0000
0.5000 0.5000 0.2653
0.5000 0.5000 0.7347
0.0000 0.0000 0.5000
```

=====

CuP2: optimized geometry, PBEsol.

Output
calculated formation energy	-0.40	eV per formula unit
space group	P2_1/c, No. 14
mass density	4.5	g cm⁻³

Cell and atoms, written as POSCAR:
```
CuP2
1.0
5.7358 0.0000 0.0000
0.0000 4.7586 0.0000
-2.8795 0.0000 6.8460
Cu P
4 8
direct
0.1450 0.0341 0.4175
0.1450 0.4659 0.9175
0.8550 0.5341 0.0825
0.8550 0.9659 0.5825
0.2429 0.7237 0.6965
0.2429 0.7763 0.1965
0.4048 0.1187 0.0788
0.4048 0.3813 0.5788
0.5952 0.6187 0.4212
0.5952 0.8813 0.9212
0.7571 0.2237 0.8035
0.7571 0.2763 0.3035
```

=====

Cu2P3: optimized geometry, PBEsol.

Output
calculated formation energy	0.49	eV per formula unit
space group	R-3m, No. 166
mass density	5.4	g cm⁻³

Cell and atoms, written as POSCAR:
```
Cu2P3
1.0
1.6051 0.9267 7.6326
-1.6051 0.9267 7.6326
0.0000 -1.8534 7.6326
Cu P
2 3
direct
0.1003 0.1003 0.1003
0.8997 0.8997 0.8997
0.3034 0.3034 0.3034
0.5000 0.5000 0.5000
0.6966 0.6966 0.6966
```

=====

Cu7P: optimized geometry, PBEsol.

Output
calculated formation energy	0.06	eV per formula unit
space group	Fm-3m, No. 225
mass density	8.7	g cm⁻³

Cell and atoms, written as POSCAR:
```
Cu7P
1.0
0.0000 3.5715 3.5715
3.5715 0.0000 3.5715
3.5715 3.5715 0.0000
Cu P
7 1
direct
0.0000 0.0000 0.0000
0.0000 0.0000 0.5000
0.0000 0.5000 0.0000
0.0000 0.5000 0.5000
0.5000 0.0000 0.0000
0.5000 0.0000 0.5000
0.5000 0.5000 0.0000
0.5000 0.5000 0.5000
```

=====

What did the fourth record say?
ZrCuOs: optimized geometry, PBEsol.

Output
calculated formation energy	-0.20	eV per formula unit
space group	I4mm, No. 107
mass density	12.3	g cm⁻³
energy above the lowest structure with this stoichiometry	0.000	eV/atom

Cell and atoms, written as POSCAR:
```
ZrCuOs
1.0
-1.6531 1.6531 4.2698
1.6531 -1.6531 4.2698
1.6531 1.6531 -4.2698
Zr Cu Os
1 1 1
direct
0.0000 0.0000 0.0000
0.6767 0.6767 0.0000
0.3320 0.3320 0.0000
```